Entry from the Alexandria database: a geometry-optimized Al2CoSe structure (PBE).

Unit cell a=7.6396 b=7.6396 c=7.6396 alpha=23.43 beta=23.43 gamma=23.43
Closest atoms and distances in Å follow each position.
Fractional positions:
Se 0.7500 0.7500 0.7500  6 Al 2.71
Al 0.9923 0.9923 0.9923  3 Co 2.46, 3 Se 2.71
Al 0.5077 0.5077 0.5077  3 Co 2.46, 3 Se 2.71
Co 0.2500 0.2500 0.2500  6 Al 2.46

Computed properties:
Symmetry: R-3m
Raw formation energy: -0.14 eV per atom

Entry from the Alexandria database: a geometry-optimized AlZnMo structure (PBE).

Unit cell a=5.0266 b=5.0266 c=5.0266 alpha=148.03 beta=137.45 gamma=54.20
Closest atoms and distances in Å follow each position.
Fractional positions:
Al 0.0015 0.0015 0.0000  5 Zn 2.71-3.02, 5 Mo 2.73-2.98, 2 Al 2.77
Mo 0.3348 0.3348 0.0000  5 Al 2.73-2.98, 5 Zn 2.76-2.94, 2 Mo 2.77
Zn 0.6636 0.6636 0.0000  5 Al 2.71-3.02, 5 Mo 2.76-2.94, 2 Zn 2.77

Computed properties:
Energy above the lowest structure with this stoichiometry: 81 meV/atom
Symmetry: Imm2

Entry from the Alexandria database: a geometry-optimized Sc5Cu12Ni2 structure (PBE).

Unit cell a=6.3510 b=6.7255 c=7.3920 alpha=62.94 beta=88.20 gamma=90.00
Closest atoms and distances in Å follow each position.
Fractional positions:
Cu 0.2447 0.0442 0.2837  3 Cu 2.45-2.56, 1 Ni 2.62, 1 Sc 2.73
Cu 0.9084 0.9026 0.1948  2 Ni 2.53, 5 Cu 2.56-2.78
Cu 0.3460 0.4054 0.7912  5 Cu 2.49-2.74, 1 Ni 2.55, 4 Sc 2.65-2.77
Cu 0.6540 0.5946 0.2088  5 Cu 2.49-2.74, 1 Ni 2.55, 4 Sc 2.65-2.77
Cu 0.7553 0.3279 0.7163  3 Cu 2.45-2.56, 1 Ni 2.62, 1 Sc 2.73
Cu 0.7553 0.9558 0.7163  3 Cu 2.45-2.56, 1 Ni 2.62, 1 Sc 2.73
Cu 0.0916 0.0974 0.8052  2 Ni 2.53, 5 Cu 2.56-2.78
Cu 0.3460 0.8034 0.7912  5 Cu 2.49-2.74, 1 Ni 2.55, 4 Sc 2.65-2.77
Cu 0.2447 0.6721 0.2837  3 Cu 2.45-2.56, 1 Ni 2.62, 1 Sc 2.73
Cu 0.6734 0.5554 0.8891  7 Cu 2.45-2.60, 2 Ni 2.55
Cu 0.3266 0.4446 0.1109  7 Cu 2.45-2.60, 2 Ni 2.55
Cu 0.6540 0.1966 0.2088  5 Cu 2.49-2.74, 1 Ni 2.55, 4 Sc 2.65-2.77
Sc 0.4383 0.2431 0.5139  10 Cu 2.74-2.90
Sc 0.9637 0.3106 0.3789  8 Cu 2.66-2.95, 2 Ni 2.79
Sc 0.0363 0.6894 0.6211  8 Cu 2.66-2.95, 2 Ni 2.79
Sc 0.5000 0.0000 0.0000  10 Cu 2.65-2.93
Sc 0.5617 0.7569 0.4861  10 Cu 2.74-2.90
Ni 0.0000 0.3145 0.0000  1 Ni 2.50, 8 Cu 2.53-2.62, 2 Sc 2.79
Ni 0.0000 0.6855 0.0000  1 Ni 2.50, 8 Cu 2.53-2.62, 2 Sc 2.79

Computed properties:
Total DFT energy (no corrections): -0.367 Ry/atom
Symmetry: C2/m

Entry from the Alexandria database: a geometry-optimized PmGe2HO6 structure (PBE).

Unit cell a=5.7212 b=7.1055 c=7.1055 alpha=77.56 beta=68.87 gamma=68.87
Closest atoms and distances in Å follow each position.
Fractional positions:
O 0.6699 0.8143 0.9195  1 Ge 1.74
O 0.3301 0.1857 0.0805  1 Ge 1.74
O 0.5747 0.5577 0.7271  2 Ge 1.81-1.85
O 0.0747 0.7271 0.5577  2 Ge 1.81-1.85
O 0.4810 0.1894 0.6330  1 H 1.23
O 0.1699 0.9195 0.8143  1 Ge 1.74
O 0.8301 0.0805 0.1857  1 Ge 1.74
O 0.4253 0.4423 0.2729  2 Ge 1.81-1.85
O 0.9810 0.6330 0.1894  1 H 1.23
O 0.5190 0.8106 0.3670  1 H 1.23
O 0.9253 0.2729 0.4423  2 Ge 1.81-1.85
O 0.0190 0.3670 0.8106  1 H 1.23
Pm 0.2500 0.8509 0.1491  6 O 2.33-2.50
Pm 0.7500 0.1491 0.8509  6 O 2.33-2.50
Ge 0.1579 0.3788 0.2394  4 O 1.74-1.85
Ge 0.3421 0.7606 0.6212  4 O 1.74-1.85
Ge 0.8421 0.6212 0.7606  4 O 1.74-1.85
Ge 0.6579 0.2394 0.3788  4 O 1.74-1.85
H 0.7500 0.7132 0.2868  2 O 1.23
H 0.2500 0.2868 0.7132  2 O 1.23

Computed properties:
Total DFT energy (no corrections): -0.490 Ry/atom
Symmetry: C2/c

Across the entries above, ρ takes the values 5.148; 6.921; 6.528; 5.143 g/cm³, respectively.